1.
Compound: LiPu2Ru
Source: Alexandria
Functional: PBE
Structure: relaxed

Properties
* ΔE_f: 0.5853 eV/atom
* theoretical density: 16.3 g/cm3
* DOS at the Fermi energy: 2.592 states/eV/atom

Structure (CIF):
```
data_LiPu2Ru
_chemical_formula_sum 'Li1 Pu2 Ru1'
_space_group_name_H-M_alt 'P 4/m m m'
_space_group_IT_number 123
_space_group_name_Hall '-P 4 2'
_cell_length_a 3.587
_cell_length_b 3.587
_cell_length_c 4.719
_cell_angle_alpha 90.00
_cell_angle_beta 90.00
_cell_angle_gamma 90.00
loop_
_atom_site_label
_atom_site_fract_x
_atom_site_fract_y
_atom_site_fract_z
_atom_site_occupancy
Li1 0.000 0.000 0.000 1
Pu1 0.000 0.500 0.500 1
Ru1 0.500 0.500 0.000 1
```

2.
Compound: LiPuSiRu
Source: Alexandria
Functional: PBE
Structure: relaxed

Properties
* theoretical density: 9.7 g/cm3
* uncorrected formation energy: -4.2 kcal/mol of atoms
* DOS at the Fermi energy: 2.314 states/eV/atom

Structure (CIF):
```
data_LiPuSiRu
_chemical_formula_sum 'Li4 Pu4 Si4 Ru4'
_space_group_name_H-M_alt 'F -4 3 m'
_space_group_IT_number 216
_space_group_name_Hall 'F -4 2 3'
_cell_length_a 6.392
_cell_length_b 6.392
_cell_length_c 6.392
_cell_angle_alpha 90.00
_cell_angle_beta 90.00
_cell_angle_gamma 90.00
loop_
_atom_site_label
_atom_site_fract_x
_atom_site_fract_y
_atom_site_fract_z
_atom_site_occupancy
Li1 0.000 0.000 0.000 1
Pu1 0.250 0.250 0.250 1
Si1 0.250 0.250 0.750 1
Ru1 0.000 0.000 0.500 1
```

3.
Compound: LiTbPuRu
Source: Alexandria
Functional: PBE
Structure: relaxed

Properties
* ΔE_f: -0.0816 eV/atom
* theoretical density: 10.2 g/cm3
* DOS at the Fermi energy: 2.472 states/eV/atom

Structure (CIF):
```
data_LiTbPuRu
_chemical_formula_sum 'Li4 Tb4 Pu4 Ru4'
_space_group_name_H-M_alt 'F -4 3 m'
_space_group_IT_number 216
_space_group_name_Hall 'F -4 2 3'
_cell_length_a 6.930
_cell_length_b 6.930
_cell_length_c 6.930
_cell_angle_alpha 90.00
_cell_angle_beta 90.00
_cell_angle_gamma 90.00
loop_
_atom_site_label
_atom_site_fract_x
_atom_site_fract_y
_atom_site_fract_z
_atom_site_occupancy
Li1 0.000 0.000 0.000 1
Tb1 0.250 0.250 0.250 1
Pu1 0.250 0.250 0.750 1
Ru1 0.000 0.000 0.500 1
```

4.
Compound: LiPuThRu
Source: Alexandria
Functional: PBE
Structure: relaxed

Properties
* ΔE_f: -0.0557 eV/atom
* theoretical density: 11.1 g/cm3
* DOS at the Fermi energy: 2.130 states/eV/atom

Structure (CIF):
```
data_LiPuThRu
_chemical_formula_sum 'Li4 Pu4 Th4 Ru4'
_space_group_name_H-M_alt 'F -4 3 m'
_space_group_IT_number 216
_space_group_name_Hall 'F -4 2 3'
_cell_length_a 7.036
_cell_length_b 7.036
_cell_length_c 7.036
_cell_angle_alpha 90.00
_cell_angle_beta 90.00
_cell_angle_gamma 90.00
loop_
_atom_site_label
_atom_site_fract_x
_atom_site_fract_y
_atom_site_fract_z
_atom_site_occupancy
Li1 0.000 0.000 0.000 1
Pu1 0.250 0.250 0.250 1
Th1 0.250 0.250 0.750 1
Ru1 0.000 0.000 0.500 1
```

5.
Compound: LiTmPuRu
Source: Alexandria
Functional: PBE
Structure: relaxed

Properties
* ΔE_f: -0.1188 eV/atom
* theoretical density: 10.7 g/cm3
* DOS at the Fermi energy: 2.368 states/eV/atom

Structure (CIF):
```
data_LiTmPuRu
_chemical_formula_sum 'Li4 Tm4 Pu4 Ru4'
_space_group_name_H-M_alt 'F -4 3 m'
_space_group_IT_number 216
_space_group_name_Hall 'F -4 2 3'
_cell_length_a 6.869
_cell_length_b 6.869
_cell_length_c 6.869
_cell_angle_alpha 90.00
_cell_angle_beta 90.00
_cell_angle_gamma 90.00
loop_
_atom_site_label
_atom_site_fract_x
_atom_site_fract_y
_atom_site_fract_z
_atom_site_occupancy
Li1 0.000 0.000 0.000 1
Tm1 0.250 0.250 0.750 1
Pu1 0.250 0.250 0.250 1
Ru1 0.000 0.000 0.500 1
```

6.
Compound: LiPuURu
Source: Alexandria
Functional: PBE
Structure: relaxed

Properties
* ΔE_f: -0.0359 eV/atom
* theoretical density: 14.3 g/cm3
* DOS at the Fermi energy: 1.521 states/eV/atom

Structure (CIF):
```
data_LiPuURu
_chemical_formula_sum 'Li4 Pu4 U4 Ru4'
_space_group_name_H-M_alt 'F -4 3 m'
_space_group_IT_number 216
_space_group_name_Hall 'F -4 2 3'
_cell_length_a 6.496
_cell_length_b 6.496
_cell_length_c 6.496
_cell_angle_alpha 90.00
_cell_angle_beta 90.00
_cell_angle_gamma 90.00
loop_
_atom_site_label
_atom_site_fract_x
_atom_site_fract_y
_atom_site_fract_z
_atom_site_occupancy
Li1 0.000 0.000 0.000 1
Pu1 0.250 0.250 0.750 1
U1 0.000 0.000 0.500 1
Ru1 0.250 0.250 0.250 1
```